Record 1
The following is a DFT calculation (PBE) of a geometry-optimized NiPd3S6 structure.

The space group is R-3 (148). The value obtained for the mass density is 5.44 g cm⁻³. The value obtained for the total energy is -47.608 eV/cell. As for the size of the total moment: 0.00 μB/f.u.

Cell and atoms, written as POSCAR:
```
NiPd3S6
1.0
3.070 1.773 5.327
-3.070 1.773 5.327
0.000 -3.545 5.327
Ni Pd S
1 3 6
direct
0.000 0.000 0.000 Ni
0.176 0.176 0.176 Pd
0.500 0.500 0.500 Pd
0.824 0.824 0.824 Pd
0.091 0.761 0.399 S
0.239 0.601 0.909 S
0.399 0.091 0.761 S
0.601 0.909 0.239 S
0.761 0.399 0.091 S
0.909 0.239 0.601 S
```

---

Record 2
The following is a DFT calculation (PBE) of a geometry-optimized NiPdSeS2 structure.

The space group is C2/m (12). The value obtained for the mass density is 5.16 g cm⁻³. The value obtained for the total energy is -46.744 eV/cell. As for the size of the total moment: 0.00 μB/f.u.

Cell and atoms, written as POSCAR:
```
NiPdSeS2
1.0
5.850 -1.816 0.000
5.850 1.816 0.000
-0.097 0.000 9.333
Ni Pd Se S
2 2 2 4
direct
0.089 0.089 0.322 Ni
0.911 0.911 0.678 Ni
0.382 0.382 0.043 Pd
0.618 0.618 0.957 Pd
0.089 0.089 0.781 Se
0.911 0.911 0.219 Se
0.170 0.170 0.117 S
0.419 0.419 0.552 S
0.581 0.581 0.448 S
0.830 0.830 0.883 S
```